Below is a geometry-optimized CsRb7Te4 structure, with properties calculated at the GGA-PBE level.

Properties
Formation energy (no corrections), eV/atom: -0.88

abc: 6.828 9.221 10.628
angles: 90.12 107.60 91.22
Fractional positions:
Cs  0.000  0.000  0.000
Rb  0.053  0.302  0.617
Rb  0.303  0.502  0.107
Rb  0.436  0.198  0.374
Rb  0.500  0.000  0.000
Rb  0.564  0.802  0.626
Rb  0.697  0.498  0.893
Rb  0.947  0.698  0.383
Te  0.142  0.679  0.781
Te  0.404  0.828  0.279
Te  0.596  0.172  0.721
Te  0.858  0.321  0.219